A relaxed Tl3BiN crystal, computed with PBE.

Computed properties:
DOS at the Fermi energy = 3.050 states/eV per cell
Raw total energy = -3.40 eV per atom
SG = P-1 (2)
E_form (uncorrected) = 0.456 eV per atom

a b c (Å): 6.0962 6.3309 9.1615
angles (deg): 86.84 87.03 66.55
Closest atoms and distances in Å follow each position.
Fractional coordinates of all 10 atoms:
Tl1 0.1281 0.0046 0.3507  1 N 2.27
Tl2 0.3368 0.3857 0.8636  1 N 2.32
Tl3 0.3435 0.3624 0.4232  2 N 2.33-2.35
Tl4 0.6565 0.6376 0.5768  2 N 2.33-2.35
Tl5 0.6632 0.6143 0.1364  1 N 2.32
Tl6 0.8719 0.9954 0.6493  1 N 2.27
Bi1 0.2214 0.9287 0.9025  1 Bi 3.00, 3 Tl 3.13-3.26
Bi2 0.7786 0.0713 0.0975  1 Bi 3.00, 3 Tl 3.13-3.26
N1 0.4559 0.6670 0.3600  4 Tl 2.27-2.35
N2 0.5441 0.3330 0.6400  4 Tl 2.27-2.35